This record from Alexandria describes a relaxed structure of Ce2AsS. The functional is PBE.

abc: 4.1313 4.1313 20.1189
angles: 90.00 90.00 120.00
Space group R-3m (No. 166, hexagonal axes)
One atom of each set of equivalent atoms:
Ce  0.0000  0.0000  0.2470
As  0.0000  0.0000  0.0000
S  0.0000  0.0000  0.5000

Output
The total magnetization comes out at 4.3 μB/cell. The calculation puts the density of states at the Fermi level at 30.8 states/eV per cell. The volume is 24.78 Å³ per atom. The uncorrected energy comes out at -6.894 eV per atom.

=====

This record from Alexandria describes a relaxed structure of CeAs2S6. The functional is PBE.

abc: 12.8653 11.4651 7.7032
angles: 90.00 112.08 90.00
Space group C2/c (No. 15)
One atom of each set of equivalent atoms:
Ce  0.0000  0.1224  0.2500
As  0.2041  0.4178  0.2431
S  0.1075  0.0694  0.6403
S  0.1323  0.4982  0.4487
S  0.1764  0.2272  0.2054

Output
The total magnetization comes out at 2.1 μB/cell. The calculation puts the density of states at the Fermi level at 20.6 states/eV per cell. The volume is 29.25 Å³ per atom. The uncorrected energy comes out at -4.869 eV per atom.

=====

This record from Alexandria describes a relaxed structure of Ce2AsS. The functional is PBE.

abc: 4.1328 5.8407 8.2433
angles: 90.00 90.00 90.00
Space group Pmmn (No. 59, origin choice 2)
One atom of each set of equivalent atoms:
Ce  0.2500  0.2500  0.1186
Ce  0.2500  0.2500  0.6316
As  0.2500  0.7500  0.6256
S  0.2500  0.7500  0.1241

Output
The total magnetization comes out at 3.2 μB/cell. The calculation puts the density of states at the Fermi level at 20.2 states/eV per cell. The volume is 24.87 Å³ per atom. The uncorrected energy comes out at -6.892 eV per atom.

=====

This record from Alexandria describes a relaxed structure of Ce4AsS3. The functional is PBE.

abc: 5.7622 5.7622 5.7622
angles: 90.00 90.00 90.00
Space group Pm-3m (No. 221)
One atom of each set of equivalent atoms:
Ce  0.0000  0.0000  0.0000
Ce  0.0000  0.5000  0.5000
As  0.5000  0.5000  0.5000
S  0.0000  0.0000  0.5000

Output
The total magnetization comes out at 2.2 μB/cell. The calculation puts the density of states at the Fermi level at 20.1 states/eV per cell. The volume is 23.92 Å³ per atom. The uncorrected energy comes out at -6.976 eV per atom.

=====

This record from Alexandria describes a relaxed structure of Ce2AsS6. The functional is PBE.

abc: 6.1196 6.1196 12.3211
angles: 90.00 90.00 90.00
Space group P4_2/mnm (No. 136)
One atom of each set of equivalent atoms:
Ce  0.0000  0.0000  0.1678
As  0.0000  0.0000  0.5000
S  0.1869  0.1869  0.3468
S  0.2062  0.2062  0.0000

Output
The total magnetization comes out at 0.0 μB/cell. The calculation puts the density of states at the Fermi level at 11.4 states/eV per cell. The volume is 25.63 Å³ per atom. The uncorrected energy comes out at -5.560 eV per atom.

=====

This record from Alexandria describes a relaxed structure of Ce3AsS3. The functional is PBE.

abc: 8.6022 8.6022 8.6022
angles: 90.00 90.00 90.00
Space group P2_13 (No. 198)
One atom of each set of equivalent atoms:
Ce  0.0022  0.2517  0.3742
As  0.1731  0.3269  0.6731
S  0.0731  0.9269  0.4269
S  0.0767  0.0767  0.0767
S  0.1734  0.6734  0.8266

Output
The total magnetization comes out at 12.2 μB/cell. The calculation puts the density of states at the Fermi level at 65.6 states/eV per cell. The volume is 22.73 Å³ per atom. The uncorrected energy comes out at -6.813 eV per atom.

=====

This record from Alexandria describes a relaxed structure of Ce4SbAs2S. The functional is PBE.

abc: 14.7041 8.5168 8.4882
angles: 90.00 125.11 90.00
Space group C2/m (No. 12)
One atom of each set of equivalent atoms:
Ce  0.0021  0.2373  0.2520
Ce  0.2437  0.0000  0.2474
Ce  0.2437  0.0000  0.7403
Sb  0.0000  0.5000  0.0000
Sb  0.0000  0.5000  0.5000
As  0.0000  0.0000  0.0000
As  0.0000  0.0000  0.5000
As  0.2500  0.2500  0.0000
S  0.2500  0.2500  0.5000

Output
The total magnetization comes out at 3.2 μB/cell. The calculation puts the density of states at the Fermi level at 93.4 states/eV per cell. The volume is 27.18 Å³ per atom. The uncorrected energy comes out at -6.599 eV per atom.

=====

This record from Alexandria describes a relaxed structure of Ce4SbAsS2. The functional is PBE.

abc: 7.2534 4.1874 7.2821
angles: 90.00 109.42 90.00
Space group P2/m (No. 10)
One atom of each set of equivalent atoms:
Ce  0.2265  0.0000  0.2321
Ce  0.2348  0.5000  0.7549
Sb  0.5000  0.5000  0.5000
As  0.5000  0.0000  0.0000
S  0.0000  0.0000  0.5000
S  0.0000  0.5000  0.0000

Output
The total magnetization comes out at 3.1 μB/cell. The calculation puts the density of states at the Fermi level at 22.3 states/eV per cell. The volume is 26.07 Å³ per atom. The uncorrected energy comes out at -6.694 eV per atom.

=====

This record from Alexandria describes a relaxed structure of CeScAsS. The functional is PBE.

abc: 3.9607 3.9607 19.4034
angles: 90.00 90.00 120.00
Space group R3m (No. 160, hexagonal axes)
One atom of each set of equivalent atoms:
Ce  0.0000  0.0000  0.0000
Sc  0.0000  0.0000  0.5039
As  0.0000  0.0000  0.7595
S  0.0000  0.0000  0.2440

Output
The total magnetization comes out at 2.3 μB/cell. The calculation puts the density of states at the Fermi level at 17.4 states/eV per cell. The volume is 21.97 Å³ per atom. The uncorrected energy comes out at -6.926 eV per atom.

=====

This record from Alexandria describes a relaxed structure of Ce8AsSe4S3. The functional is PBE.

abc: 8.2508 8.2508 20.3508
angles: 90.00 90.00 120.00
Space group R-3m (No. 166, hexagonal axes)
One atom of each set of equivalent atoms:
Ce  0.0000  0.0000  0.2446
Ce  0.0057  0.5028  0.7540
As  0.0000  0.0000  0.5000
Se  0.0000  0.0000  0.0000
Se  0.0000  0.5000  0.0000
S  0.0000  0.5000  0.5000

Output
The total magnetization comes out at 17.3 μB/cell. The calculation puts the density of states at the Fermi level at 128.5 states/eV per cell. The volume is 25.00 Å³ per atom. The uncorrected energy comes out at -6.757 eV per atom.

=====

This record from Alexandria describes a relaxed structure of Ce6AsSe3S2. The functional is PBE.

abc: 7.1595 12.4065 7.2122
angles: 90.00 109.36 90.00
Space group C2/m (No. 12)
One atom of each set of equivalent atoms:
Ce  0.2391  0.0000  0.2366
Ce  0.2494  0.3302  0.2387
As  0.0000  0.5000  0.0000
Se  0.0000  0.0000  0.5000
Se  0.0000  0.3364  0.5000
S  0.0000  0.1671  0.0000

Output
The total magnetization comes out at 9.4 μB/cell. The calculation puts the density of states at the Fermi level at 66.0 states/eV per cell. The volume is 25.18 Å³ per atom. The uncorrected energy comes out at -6.745 eV per atom.

=====

This record from Alexandria describes a relaxed structure of Ce6AsSe2S3. The functional is PBE.

abc: 17.9435 4.1100 8.2363
angles: 90.00 103.41 90.00
Space group C2/m (No. 12)
One atom of each set of equivalent atoms:
Ce  0.0032  0.0000  0.2447
Ce  0.1628  0.5000  0.0924
Ce  0.1690  0.5000  0.5739
As  0.0000  0.5000  0.5000
Se  0.1670  0.0000  0.8339
S  0.0000  0.5000  0.0000
S  0.1666  0.0000  0.3333

Output
The total magnetization comes out at 9.0 μB/cell. The calculation puts the density of states at the Fermi level at 61.8 states/eV per cell. The volume is 24.62 Å³ per atom. The uncorrected energy comes out at -6.833 eV per atom.

=====

This record from Alexandria describes a relaxed structure of Ce8As3Se4S. The functional is PBE.

abc: 8.3776 8.3776 20.5566
angles: 90.00 90.00 120.00
Space group R-3m (No. 166, hexagonal axes)
One atom of each set of equivalent atoms:
Ce  0.0000  0.0000  0.2486
Ce  0.0047  0.5024  0.2473
As  0.0000  0.5000  0.5000
Se  0.0000  0.0000  0.0000
Se  0.0000  0.5000  0.0000
S  0.0000  0.0000  0.5000

Output
The total magnetization comes out at 20.4 μB/cell. The calculation puts the density of states at the Fermi level at 143.8 states/eV per cell. The volume is 26.03 Å³ per atom. The uncorrected energy comes out at -6.679 eV per atom.

=====

This record from Alexandria describes a relaxed structure of Ce6As2SeS3. The functional is PBE.

abc: 17.9452 4.1208 8.2364
angles: 90.00 103.13 90.00
Space group C2/m (No. 12)
One atom of each set of equivalent atoms:
Ce  0.0024  0.0000  0.2408
Ce  0.1647  0.5000  0.0884
Ce  0.1700  0.5000  0.5783
As  0.1663  0.0000  0.8324
Se  0.0000  0.5000  0.5000
S  0.0000  0.5000  0.0000
S  0.1667  0.0000  0.3332

Output
The total magnetization comes out at 9.1 μB/cell. The calculation puts the density of states at the Fermi level at 60.6 states/eV per cell. The volume is 24.71 Å³ per atom. The uncorrected energy comes out at -6.866 eV per atom.

=====

This record from Alexandria describes a relaxed structure of Ce4AsSeS2. The functional is PBE.

abc: 8.2099 8.2462 11.6349
angles: 90.00 90.00 90.00
Space group Imma (No. 74)
One atom of each set of equivalent atoms:
Ce  0.0000  0.0102  0.2466
Ce  0.2431  0.2500  0.0049
As  0.0000  0.0000  0.5000
Se  0.2500  0.2500  0.7500
S  0.0000  0.0000  0.0000
S  0.2500  0.2500  0.2500

Output
The total magnetization comes out at 10.8 μB/cell. The calculation puts the density of states at the Fermi level at 81.2 states/eV per cell. The volume is 24.62 Å³ per atom. The uncorrected energy comes out at -6.851 eV per atom.

=====

This record from Alexandria describes a relaxed structure of TbCe2As2S2. The functional is PBE.

abc: 5.3834 5.3834 13.9552
angles: 90.00 90.00 90.00
Space group I4/mmm (No. 139)
One atom of each set of equivalent atoms:
Tb  0.0000  0.0000  0.0000
Ce  0.0000  0.0000  0.3783
As  0.0000  0.5000  0.0000
S  0.0000  0.0000  0.1952

Output
The total magnetization comes out at 2.2 μB/cell. The calculation puts the density of states at the Fermi level at 17.4 states/eV per cell. The volume is 28.89 Å³ per atom. The uncorrected energy comes out at -6.063 eV per atom.

=====

This record from Alexandria describes a relaxed structure of Ce6Te3AsS2. The functional is PBE.

abc: 7.3301 12.6971 7.5889
angles: 90.00 108.79 90.00
Space group C2/m (No. 12)
One atom of each set of equivalent atoms:
Ce  0.2305  0.0000  0.2133
Ce  0.2423  0.3300  0.2163
Te  0.0000  0.0000  0.5000
Te  0.0000  0.3366  0.5000
As  0.0000  0.5000  0.0000
S  0.0000  0.1673  0.0000

Output
The total magnetization comes out at 11.4 μB/cell. The calculation puts the density of states at the Fermi level at 74.8 states/eV per cell. The volume is 27.86 Å³ per atom. The uncorrected energy comes out at -6.424 eV per atom.

=====

This record from Alexandria describes a relaxed structure of Ce6Te3As2S. The functional is PBE.

abc: 18.9919 4.2804 8.7387
angles: 90.00 105.09 90.00
Space group C2/m (No. 12)
One atom of each set of equivalent atoms:
Ce  0.0043  0.0000  0.2262
Ce  0.1567  0.5000  0.0938
Ce  0.1725  0.5000  0.5684
Te  0.0000  0.5000  0.5000
Te  0.1687  0.0000  0.8338
As  0.1657  0.0000  0.3317
S  0.0000  0.5000  0.0000

Output
The total magnetization comes out at 11.6 μB/cell. The calculation puts the density of states at the Fermi level at 75.1 states/eV per cell. The volume is 28.58 Å³ per atom. The uncorrected energy comes out at -6.378 eV per atom.

=====

This record from Alexandria describes a relaxed structure of Ce6TeAs2S3. The functional is PBE.

abc: 18.1515 4.1577 8.3615
angles: 90.00 103.13 90.00
Space group C2/m (No. 12)
One atom of each set of equivalent atoms:
Ce  0.0015  0.0000  0.2262
Ce  0.1648  0.5000  0.0873
Ce  0.1753  0.5000  0.5817
Te  0.0000  0.5000  0.5000
As  0.1670  0.0000  0.8327
S  0.0000  0.5000  0.0000
S  0.1646  0.0000  0.3314

Output
The total magnetization comes out at 9.8 μB/cell. The calculation puts the density of states at the Fermi level at 64.8 states/eV per cell. The volume is 25.61 Å³ per atom. The uncorrected energy comes out at -6.741 eV per atom.

=====

This record from Alexandria describes a relaxed structure of Ce4Te2AsS. The functional is PBE.

abc: 7.3615 4.2581 7.6150
angles: 90.00 108.88 90.00
Space group P2/m (No. 10)
One atom of each set of equivalent atoms:
Ce  0.2327  0.0000  0.2158
Ce  0.2540  0.5000  0.7800
Te  0.0000  0.0000  0.5000
Te  0.5000  0.5000  0.5000
As  0.5000  0.0000  0.0000
S  0.0000  0.5000  0.0000

Output
The total magnetization comes out at 3.8 μB/cell. The calculation puts the density of states at the Fermi level at 25.8 states/eV per cell. The volume is 28.23 Å³ per atom. The uncorrected energy comes out at -6.400 eV per atom.